1.
{"formula": "Cs2TmAgCl6", "functional": "GGA-PBE", "state": "relaxed", "lattice": [[-4.142, -4.593, -4.394], [2.441, -7.024, -1.504], [-2.411, 1.764, 6.974]], "species": ["Ag", "Cl", "Cl", "Cl", "Cl", "Cl", "Cl", "Cs", "Cs", "Tm"], "fractional_positions": [[0.500, 0.500, 0.000], [0.758, 0.758, 0.257], [0.758, 0.243, 0.258], [0.243, 0.758, 0.258], [0.757, 0.242, 0.742], [0.242, 0.757, 0.742], [0.242, 0.242, 0.743], [0.250, 0.250, 0.250], [0.750, 0.750, 0.750], [0.000, 0.000, 0.500]], "magnetic_moment_mub_per_fu": 0.00, "e_tot_ev_per_atom": -3.869, "volume_a3_per_atom": 30.9}



2.
{"formula": "Cs2YAgCl6", "functional": "GGA-PBE", "state": "relaxed", "lattice": [[-1.295, -7.504, -0.038], [-0.385, -3.831, 6.571], [-6.683, -2.723, 2.434]], "species": ["Ag", "Cl", "Cl", "Cl", "Cl", "Cl", "Cl", "Cs", "Cs", "Y"], "fractional_positions": [[0.500, 0.500, 0.500], [0.755, 0.245, 0.245], [0.245, 0.755, 0.245], [0.755, 0.755, 0.245], [0.755, 0.245, 0.755], [0.245, 0.755, 0.755], [0.245, 0.245, 0.755], [0.250, 0.250, 0.250], [0.750, 0.750, 0.750], [0.000, 0.000, 0.000]], "magnetic_moment_mub_per_fu": 0.00, "e_tot_ev_per_atom": -4.063, "volume_a3_per_atom": 31.2}



3.
{"formula": "CuAg2Cl6", "functional": "GGA-PBE", "state": "relaxed", "lattice": [[6.379, 0.000, 0.000], [0.000, 6.599, 0.000], [-4.128, 0.000, 10.915]], "species": ["Ag", "Ag", "Ag", "Ag", "Cl", "Cl", "Cl", "Cl", "Cl", "Cl", "Cl", "Cl", "Cl", "Cl", "Cl", "Cl", "Cu", "Cu"], "fractional_positions": [[0.652, 0.135, 0.165], [0.348, 0.635, 0.335], [0.652, 0.365, 0.665], [0.348, 0.865, 0.835], [0.906, 0.289, 0.071], [0.773, 0.825, 0.074], [0.589, 0.461, 0.244], [0.411, 0.961, 0.256], [0.227, 0.325, 0.426], [0.094, 0.789, 0.429], [0.906, 0.211, 0.571], [0.773, 0.675, 0.574], [0.589, 0.039, 0.744], [0.411, 0.539, 0.756], [0.227, 0.175, 0.926], [0.094, 0.711, 0.929], [0.000, 0.000, 0.000], [0.000, 0.500, 0.500]], "e_tot_ev_per_atom": -2.660, "volume_a3_per_atom": 25.5}



4.
{"formula": "CuAg2Cl4", "functional": "GGA-PBE", "state": "relaxed", "lattice": [[5.017, -4.052, 0.000], [5.017, 4.052, 0.000], [0.000, 0.000, 8.092]], "species": ["Ag", "Ag", "Ag", "Ag", "Cl", "Cl", "Cl", "Cl", "Cl", "Cl", "Cl", "Cl", "Cu", "Cu"], "fractional_positions": [[0.024, 0.476, 0.250], [0.524, 0.976, 0.250], [0.476, 0.024, 0.750], [0.976, 0.524, 0.750], [0.271, 0.271, 0.000], [0.729, 0.729, 0.000], [0.692, 0.308, 0.211], [0.192, 0.808, 0.289], [0.229, 0.229, 0.500], [0.771, 0.771, 0.500], [0.808, 0.192, 0.711], [0.308, 0.692, 0.789], [0.500, 0.500, 0.000], [0.000, 0.000, 0.500]], "e_tot_ev_per_atom": -2.826, "volume_a3_per_atom": 23.5}